# LiAsCl2 PBE-GGA relaxed
# Electronic total energy ... -12.9 eV per formula unit
# Energy above the most stable polymorph in this dataset ... 0.226 eV per atom
# Formation energy (no corrections) ... -0.654 eV/atom
# Calculated density ... 2.596 g/cm3
# Space-group type ... Pm, No. 6
data_LiAsCl2
_chemical_formula_sum 'Li1 As1 Cl2'
_cell_length_a 3.4913
_cell_length_b 5.6137
_cell_length_c 5.2754
_cell_angle_alpha 90.00
_cell_angle_beta 109.08
_cell_angle_gamma 90.00
_space_group_name_H-M_alt 'P 1'
_space_group_IT_number 1
loop_
_space_group_symop_operation_xyz
'x,y,z'
loop_
_atom_site_label
_atom_site_fract_x
_atom_site_fract_y
_atom_site_fract_z
Li1 0.0000 0.0000 0.0000
As1 0.3358 0.5000 0.6656
Cl1 0.1078 0.5000 0.2036
Cl2 0.3505 0.0000 0.6967